The following is a PBE calculation of Dy3Ho4Tm8 after structural relaxation, from Alexandria via LeMat-Bulk.

```
Dy3Ho4Tm8
1.0
6.582 -6.374 0.000
6.582 6.374 0.000
-3.326 0.000 5.722
Dy Ho Tm
3 4 8
Direct
0.000 0.000 0.000
0.000 0.500 0.000
0.500 0.000 0.000
0.000 0.500 0.500
0.500 0.000 0.500
0.500 0.500 0.000
0.500 0.500 0.500
0.139 0.861 0.500
0.234 0.234 0.494
0.234 0.234 0.973
0.248 0.752 0.000
0.752 0.248 0.000
0.766 0.766 0.027
0.766 0.766 0.506
0.861 0.139 0.500
```

Summary:
energy	-61.71	eV per cell
SG	No. 12

---

The following is a PBE calculation of SrCa2YIr after structural relaxation, from Alexandria via LeMat-Bulk.

```
SrCa2YIr
1.0
5.701 0.000 0.000
0.000 5.701 0.000
0.000 0.000 5.445
Sr Ca Y Ir
1 2 1 1
Direct
0.000 0.000 0.000
0.000 0.500 0.500
0.500 0.000 0.500
0.500 0.500 0.000
0.500 0.500 0.500
```

Summary:
energy	-22.30	eV per cell
SG	No. 123

---

The following is a PBE calculation of Cs2CrCuIr after structural relaxation, from Alexandria via LeMat-Bulk.

```
Cs2CrCuIr
1.0
6.683 0.000 0.000
0.000 6.683 0.000
0.000 0.000 4.713
Cs Cr Cu Ir
2 1 1 1
Direct
0.000 0.500 0.000
0.500 0.000 0.000
0.000 0.000 0.500
0.500 0.500 0.000
0.500 0.500 0.500
```

Summary:
energy	-17.92	eV per cell
SG	No. 123

---

The following is a PBE calculation of NaSrTi2 after structural relaxation, from Alexandria via LeMat-Bulk.

```
NaSrTi2
1.0
0.000 3.845 3.845
3.845 0.000 3.845
3.845 3.845 0.000
Na Sr Ti
1 1 2
Direct
0.000 0.000 0.000
0.500 0.500 0.500
0.250 0.250 0.250
0.750 0.750 0.750
```

Summary:
energy	-14.35	eV per cell
SG	No. 225

---

In Mg/m³, the mass density values for the records above are, in order, 8.642; 4.212; 4.525; 3.014.
In meV/atom, the E_form values for the records above are, in order, 412; -258; 1273; 1109.